Material: AlTePd3
Method: DFT, GGA-PBE
State: relaxed

abc: 4.631 4.631 4.631
angles: 90.00 90.00 90.00
Element x y z (fractional)
Te  0.500  0.500  0.500
Al  0.000  0.000  0.000
Pd  0.000  0.500  0.000
Pd  0.000  0.000  0.500
Pd  0.500  0.000  0.000

Calculated values
Final energy: -4.50 eV/atom